[1]
## Pa3Si4Tc (PBE-GGA)

Data for a relaxed Pa3Si4Tc crystal.

abc: 19.4010 4.1963 3.7757
angles: 90.00 90.06 90.00
Space group C2/m (No. 12)
Symmetry-distinct sites (fractional):
Pa (0.0000, 0.0000, 0.0000) (multiplicity 2)
Pa (0.1585, 0.0000, 0.4996) (multiplicity 4)
Si (0.1007, 0.5000, 0.9994) (multiplicity 4)
Si (0.2223, 0.5000, 0.0000) (multiplicity 4)
Tc (0.0000, 0.5000, 0.5000) (multiplicity 2)

Calculated values
energy relative to the elements, uncorrected: -512 meV/atom
uncorrected energy: -8.080 eV/atom
spin magnetization: 0.0 μB/f.u.
theoretical density: 9.8 g/cm³

***

[2]
## ZrCd2As (PBE-GGA)

Data for a relaxed ZrCd2As crystal.

abc: 5.5764 10.3023 3.0616
angles: 90.00 105.80 90.00
Space group C2/m (No. 12)
Symmetry-distinct sites (fractional):
Zr (0.0000, 0.0000, 0.0000) (multiplicity 2)
Cd (0.2500, 0.2500, 0.5000) (multiplicity 4)
As (0.0000, 0.5000, 0.0000) (multiplicity 2)

Calculated values
uncorrected energy: -3.901 eV/atom
spin magnetization: 0.0 μB/f.u.
formation energy from the elements: -0.14 eV/atom
theoretical density: 7.7 g/cm³

***

[3]
## Ti2RePd (PBE-GGA)

Data for a relaxed Ti2RePd crystal.

abc: 3.1476 3.1476 6.2640
angles: 90.00 90.00 90.00
Space group P4/mmm (No. 123)
Symmetry-distinct sites (fractional):
Ti (0.0000, 0.0000, 0.2357) (multiplicity 2)
Re (0.5000, 0.5000, 0.0000) (multiplicity 1)
Pd (0.5000, 0.5000, 0.5000) (multiplicity 1)

Calculated values
uncorrected energy: -8.913 eV/atom
spin magnetization: 0.0 μB/f.u.
formation energy from the elements: -0.56 eV/atom
theoretical density: 10.4 g/cm³

***

[4]
## Na4Zr3IrS8 (PBE-GGA)

Data for a relaxed Na4Zr3IrS8 crystal.

abc: 7.3411 7.3411 20.3745
angles: 90.00 90.00 120.00
Space group R-3m (No. 166, hexagonal axes)
Symmetry-distinct sites (fractional):
Na (0.0000, 0.0000, 0.0000) (multiplicity 3)
Na (0.0000, 0.5000, 0.0000) (multiplicity 9)
Zr (0.0000, 0.5000, 0.5000) (multiplicity 9)
Ir (0.0000, 0.0000, 0.5000) (multiplicity 3)
S (0.0000, 0.0000, 0.2417) (multiplicity 6)
S (0.0159, 0.5080, 0.2384) (multiplicity 18)

Calculated values
energy relative to the elements, uncorrected: -1219 meV/atom
uncorrected energy: -5.769 eV/atom
spin magnetization: 0.0 μB/f.u.
theoretical density: 4.3 g/cm³